Record 1
12
Lattice="3.160 -5.464 0.000 3.160 5.464 0.000 -2.103 0.000 11.939" Properties=species:S:1:pos:R:3 comment="Pm3Nd6Y2Th | Alexandria | PBE-GGA | optimized geometry" energy_ev_per_atom=-5.2388 space_group="No. 12" delta_e_f_ev_per_atom=0.03 density_kg_m3=6890 total_magnetization_mub_per_fu=0.00 dos_ef_per_ev_fu=17.88 pbc="T T T"
Pm 0.000 0.000 0.000
Pm 3.160 1.822 0.000
Pm 3.160 -1.822 0.000
Nd 1.064 1.799 3.017
Nd 0.031 0.000 8.922
Nd 1.064 -1.799 3.017
Nd 3.152 1.799 8.922
Nd 4.185 0.000 3.017
Nd 3.152 -1.799 8.922
Y 2.108 3.644 5.969
Y 2.108 -3.644 5.969
Th 2.108 0.000 5.969

---

Record 2
8
Lattice="5.961 0.000 0.000 1.131 6.085 0.000 0.006 2.264 7.054" Properties=species:S:1:pos:R:3 comment="La6AlTl | Alexandria | PBE-GGA | optimized geometry" energy_ev_per_atom=-4.6227 space_group="No. 2" delta_e_f_ev_per_atom=-0.16 density_kg_m3=6910 total_magnetization_mub_per_fu=0.00 polymorph_energy_mev_per_atom=0 dos_ef_per_ev_fu=9.09 pbc="T T T"
La 0.572 3.552 1.672
La 2.731 6.164 0.900
La 2.744 7.323 4.511
La 4.354 1.026 2.543
La 4.367 2.185 6.154
La 6.526 4.797 5.382
Al 3.546 3.043 0.000
Tl 3.549 4.175 3.527

---

Record 3
8
Lattice="5.828 0.000 0.000 0.000 5.837 0.000 0.000 0.000 7.812" Properties=species:S:1:pos:R:3 comment="Pr4SmDy2Mg | Alexandria | PBE-GGA | optimized geometry" energy_ev_per_atom=-4.2747 space_group="No. 47" delta_e_f_ev_per_atom=0.05 density_kg_m3=6644 total_magnetization_mub_per_fu=0.00 dos_ef_per_ev_fu=11.08 pbc="T T T"
Pr 0.000 0.000 1.836
Pr 0.000 0.000 5.976
Pr 2.914 2.918 1.847
Pr 2.914 2.918 5.964
Sm 0.000 2.918 3.906
Dy 0.000 2.918 0.000
Dy 2.914 0.000 3.906
Mg 2.914 0.000 0.000

---

Record 4
4
Lattice="3.911 0.000 0.000 0.000 4.099 0.000 -1.966 0.000 5.546" Properties=species:S:1:pos:R:3 comment="PuThRh2 | Alexandria | PBE-GGA | optimized geometry" energy_ev_per_atom=-9.8099 space_group="No. 6" delta_e_f_ev_per_atom=-0.70 density_kg_m3=12736 total_magnetization_mub_per_fu=5.22 dos_ef_per_ev_fu=11.19 pbc="T T T"
Pu 0.000 0.000 0.000
Th -0.005 2.050 3.039
Rh 1.955 2.050 0.409
Rh 1.950 0.000 2.532

---

Record 5
3
Lattice="4.348 0.000 0.000 -2.174 3.766 0.000 0.000 0.000 7.543" Properties=species:S:1:pos:R:3 comment="BaSrS | Alexandria | PBE-GGA | optimized geometry" energy_ev_per_atom=-3.8679 space_group="No. 156" formation_energy_uncorrected_kj_per_mol_atoms=-124.5 density_kg_m3=3456 total_magnetization_mub_per_fu=0.10 polymorph_energy_mev_per_atom=0 dos_ef_per_ev_fu=2.40 pbc="T T T"
Ba 0.000 0.000 0.000
Sr 0.000 2.510 3.637
S 2.174 1.255 1.966

---

Record 6
80
Lattice="-9.379 9.379 9.379 9.379 -9.379 9.379 9.379 9.379 -9.379" Properties=species:S:1:pos:R:3 comment="Pm5Nd12Th3 | Alexandria | PBE-GGA | optimized geometry" energy_ev_per_atom=-4.1629 space_group="No. 230" delta_e_f_ev_per_atom=1.00 density_kg_m3=6344 total_magnetization_mub_per_fu=0.00 dos_ef_per_ev_fu=42.01 pbc="T T T"
Pm 0.000 0.000 0.000
Pm 4.689 4.689 -4.689
Pm 4.689 -4.689 4.689
Pm 9.379 0.000 0.000
Pm 14.068 2.345 0.000
Pm 9.379 -4.689 7.034
Pm 7.034 9.379 -4.689
Pm 7.034 0.000 4.689
Pm 4.689 7.034 0.000
Pm 9.379 4.689 2.345
Pm -4.689 4.689 4.689
Pm 0.000 9.379 0.000
Pm 0.000 0.000 9.379
Pm 4.689 4.689 4.689
Pm 0.000 4.689 7.034
Pm 4.689 2.345 9.379
Pm 2.345 9.379 4.689
Pm 2.345 0.000 14.068
Pm 0.000 14.068 2.345
Pm -4.689 7.034 9.379
Nd 2.802 -0.260 1.524
Nd 11.266 6.214 -4.949
Nd 9.119 -1.524 2.802
Nd 14.328 -1.887 3.165
Nd 12.181 0.260 1.524
Nd 11.266 -3.165 4.949
Nd 1.524 2.802 -0.260
Nd 12.544 4.430 -1.887
Nd 6.214 4.949 -1.887
Nd 7.855 2.802 0.260
Nd -0.260 1.524 2.802
Nd 4.949 -1.887 6.214
Nd 9.119 7.855 -2.802
Nd 4.949 1.887 3.165
Nd 7.855 -2.802 9.119
Nd 6.214 -4.949 11.266
Nd 3.165 4.949 1.887
Nd 10.903 6.577 0.260
Nd 2.802 9.119 -1.524
Nd 11.266 3.165 4.430
Nd 4.949 11.266 -3.165
Nd 9.119 1.524 6.577
Nd 1.887 3.165 4.949
Nd 2.802 0.260 7.855
Nd 6.577 9.119 1.524
Nd 7.491 6.214 4.430
Nd 0.260 7.855 2.802
Nd 4.430 -1.887 12.544
Nd -1.887 6.214 4.949
Nd 6.577 0.260 10.903
Nd -1.524 2.802 9.119
Nd 6.214 4.430 7.491
Nd 3.165 14.328 -1.887
Nd 1.524 12.181 0.260
Nd 4.430 7.491 6.214
Nd 0.260 1.524 12.181
Nd 4.430 11.266 3.165
Nd 9.638 7.855 6.577
Nd 1.524 6.577 9.119
Nd 3.165 4.430 11.266
Nd -3.165 4.949 11.266
Nd 7.855 6.577 9.638
Nd -1.887 12.544 4.430
Nd -2.802 9.119 7.855
Nd -4.949 11.266 6.214
Nd 0.260 10.903 6.577
Nd -1.887 3.165 14.328
Nd 6.577 9.638 7.855
Th 4.689 2.345 0.000
Th 9.379 4.689 -2.345
Th 2.345 0.000 4.689
Th 11.724 0.000 4.689
Th 0.000 4.689 2.345
Th 4.689 -2.345 9.379
Th 4.689 11.724 0.000
Th 9.379 4.689 7.034
Th -2.345 9.379 4.689
Th 7.034 9.379 4.689
Th 0.000 4.689 11.724
Th 4.689 7.034 9.379

---

Record 7
8
Lattice="4.066 0.000 0.000 0.000 4.066 0.000 0.000 0.000 9.099" Properties=species:S:1:pos:R:3 comment="NdZnAsO | Alexandria | PBE-GGA | optimized geometry" energy_ev_per_atom=-5.6994 space_group="No. 129" formation_energy_uncorrected_kj_per_mol_atoms=-172.4 density_kg_m3=6635 total_magnetization_mub_per_fu=0.00 pbc="T T T"
Nd 1.017 1.017 1.180
Nd 3.050 3.050 7.919
Zn 1.017 3.050 4.549
Zn 3.050 1.017 4.549
As 1.017 1.017 6.146
As 3.050 3.050 2.953
O 1.017 3.050 0.000
O 3.050 1.017 0.000

---

Record 8
9
Lattice="5.398 0.000 0.000 -2.699 4.675 0.000 0.000 0.000 6.549" Properties=species:S:1:pos:R:3 comment="CsLiAsF6 | Alexandria | PBE-GGA | optimized geometry" energy_ev_per_atom=-4.5143 space_group="No. 149" formation_energy_uncorrected_kj_per_mol_atoms=-235.7 density_kg_m3=3303 total_magnetization_mub_per_fu=1.00 dos_ef_per_ev_fu=2.79 pbc="T T T"
Cs 0.000 0.000 0.000
Li 0.000 3.116 3.274
As 2.699 1.558 3.274
F 2.074 0.107 4.380
F 1.130 1.742 2.168
F 3.324 0.107 2.168
F 1.755 2.825 4.380
F 4.268 1.742 4.380
F 3.643 2.825 2.168

---

Record 9
4
Lattice="5.345 0.000 0.000 0.000 5.345 0.000 0.000 0.000 2.936" Properties=species:S:1:pos:R:3 comment="KReHg2 | Alexandria | PBE-GGA | optimized geometry" energy_ev_per_atom=-2.7660 space_group="No. 123" delta_e_f_ev_per_atom=0.77 density_kg_m3=12400 total_magnetization_mub_per_fu=0.00 polymorph_energy_mev_per_atom=60 pbc="T T T"
K 0.000 0.000 0.000
Re 2.673 2.673 0.000
Hg 0.000 2.673 1.468
Hg 2.673 0.000 1.468

---

Record 10
12
Lattice="3.260 0.000 0.000 -1.630 2.823 0.000 0.000 0.000 26.493" Properties=species:S:1:pos:R:3 comment="Zr2WSe | Alexandria | PBE-GGA | optimized geometry" energy_ev_per_atom=-8.3326 space_group="No. 160" formation_energy_uncorrected_kj_per_mol_atoms=4.9 density_kg_m3=9097 total_magnetization_mub_per_fu=0.00 dos_ef_per_ev_fu=3.79 pbc="T T T"
Zr 0.000 0.000 0.000
Zr 0.000 0.000 6.337
Zr 0.000 1.882 17.662
Zr 0.000 1.882 23.999
Zr 1.630 0.941 8.831
Zr 1.630 0.941 15.168
W 0.000 0.000 12.814
W 0.000 1.882 3.983
W 1.630 0.941 21.645
Se 0.000 0.000 19.917
Se 0.000 1.882 11.086
Se 1.630 0.941 2.255

---

Record 11
4
Lattice="3.262 0.000 0.000 0.000 3.262 0.000 0.000 0.000 7.273" Properties=species:S:1:pos:R:3 comment="SrFe2Au | Alexandria | PBE-GGA | optimized geometry" energy_ev_per_atom=-5.2614 space_group="No. 99" delta_e_f_ev_per_atom=0.21 density_kg_m3=8505 total_magnetization_mub_per_fu=5.37 dos_ef_per_ev_fu=3.43 pbc="T T T"
Sr 0.000 0.000 0.000
Fe 0.000 0.000 3.944
Fe 1.631 1.631 4.921
Au 1.631 1.631 2.247

---

Record 12
4
Lattice="3.382 0.000 0.000 0.000 3.415 0.000 -0.019 0.000 8.030" Properties=species:S:1:pos:R:3 comment="TaSi2Br | Alexandria | PBE-GGA | optimized geometry" energy_ev_per_atom=-6.0733 space_group="No. 6" formation_energy_uncorrected_kj_per_mol_atoms=1.9 density_kg_m3=5675 total_magnetization_mub_per_fu=0.00 polymorph_energy_mev_per_atom=0 dos_ef_per_ev_fu=1.53 pbc="T T T"
Ta 0.000 0.000 0.000
Si 1.674 1.708 7.027
Si 1.713 0.000 5.425
Br -0.002 1.708 2.041

---

Question: Which formula does entry 2 have?
Answer: La6AlTl